No. 1
First-principles (PBE-GGA) data for crystalline Tm10In20Rh9 at its relaxed geometry, as listed in the Alexandria database.

Its formation energy from the elements is -0.60 eV per atom. The density of states at the Fermi level is 38.9 states/eV per cell.

The structure belongs to space group P4/nmm (No. 129, origin choice 2); the cell edges are 13.442, 13.442 and 9.364 Å and the angles 90.00°, 90.00° and 90.00°. The asymmetric unit holds Tm at (0.025, 0.750, 0.233), Tm at (0.046, 0.046, 0.269), Tm at (0.250, 0.250, 0.362), Tm at (0.250, 0.250, 0.843), In at (0.081, 0.250, 0.099), In at (0.099, 0.599, 0.000), In at (0.119, 0.619, 0.500), In at (0.120, 0.120, 0.592), In at (0.137, 0.750, 0.760), Rh at (0.029, 0.250, 0.403), Rh at (0.093, 0.093, 0.895) and Rh at (0.250, 0.750, 0.000).


No. 2
First-principles (PBE-GGA) data for crystalline MgZrBr2 at its relaxed geometry, as listed in the Alexandria database.

The excess energy over the best structure of this formula in the dataset comes out at 328.5 meV/atom. The density of states at the Fermi level is 2.9 states/eV per cell. The calculation puts the uncorrected formation energy at -0.408 eV per atom.

The structure belongs to space group P2/m (No. 10); the cell edges are 3.463, 4.704 and 5.992 Å and the angles 90.00°, 92.02° and 90.00°. The asymmetric unit holds Mg at (0.000, 0.000, 0.000), Zr at (0.500, 0.000, 0.500) and Br at (0.306, 0.500, 0.258).


No. 3
First-principles (PBE-GGA) data for crystalline NaLiTl2 at its relaxed geometry, as listed in the Alexandria database.

Its formation energy from the elements is 0.06 eV per atom. The excess energy over the best structure of this formula in the dataset comes out at 219.0 meV/atom. The density of states at the Fermi level is 4.1 states/eV per cell.

The structure belongs to space group Immm (No. 71); the cell edges are 3.384, 5.758 and 12.082 Å and the angles 90.00°, 90.00° and 90.00°. The asymmetric unit holds Na at (0.000, 0.000, 0.000), Li at (0.000, 0.000, 0.500) and Tl at (0.000, 0.000, 0.272).


No. 4
First-principles (PBE-GGA) data for crystalline CoBiP at its relaxed geometry, as listed in the Alexandria database.

Its formation energy from the elements is -0.21 eV per atom. The density of states at the Fermi level is 2.3 states/eV per cell.

The structure belongs to space group P2_1/c (No. 14); the cell edges are 6.248, 6.113 and 6.220 Å and the angles 90.00°, 115.02° and 90.00°. The asymmetric unit holds Co at (0.187, 0.028, 0.199), Bi at (0.345, 0.626, 0.146) and P at (0.138, 0.150, 0.843).


No. 5
First-principles (PBE-GGA) data for crystalline PaCoAu at its relaxed geometry, as listed in the Alexandria database.

Its formation energy from the elements is -0.39 eV per atom. The excess energy over the best structure of this formula in the dataset comes out at 65.7 meV/atom. The density of states at the Fermi level is 10.6 states/eV per cell.

The structure belongs to space group C2/m (No. 12); the cell edges are 12.130, 3.802 and 4.958 Å and the angles 90.00°, 100.89° and 90.00°. The asymmetric unit holds Pa at (0.138, 0.000, 0.313), Co at (0.237, 0.000, 0.821) and Au at (0.071, 0.500, 0.777).


No. 6
First-principles (PBE-GGA) data for crystalline KFeNi2 at its relaxed geometry, as listed in the Alexandria database.

Its formation energy from the elements is 0.44 eV per atom. The excess energy over the best structure of this formula in the dataset comes out at 0.0 meV/atom. The density of states at the Fermi level is 2.2 states/eV per cell.

The structure belongs to space group P4/mmm (No. 123); the cell edges are 2.927, 2.927 and 7.819 Å and the angles 90.00°, 90.00° and 90.00°. The asymmetric unit holds K at (0.000, 0.000, 0.000), Fe at (0.000, 0.000, 0.500) and Ni at (0.500, 0.500, 0.335).


No. 7
First-principles (PBE-GGA) data for crystalline PmCd2I6 at its relaxed geometry, as listed in the Alexandria database.

The density of states at the Fermi level is 8.3 states/eV per cell. The calculation puts the uncorrected formation energy at -0.808 eV per atom.

The structure belongs to space group R3 (No. 146, hexagonal axes); the cell edges are 8.0415, 8.0415 and 23.4470 Å and the angles 90.00°, 90.00° and 120.00°. The asymmetric unit holds Pm at (0.0000, 0.0000, 0.0000), Cd at (0.0000, 0.0000, 0.6066), Cd at (0.0000, 0.0000, 0.7280), I at (0.0015, 0.3055, 0.9163) and I at (0.0037, 0.6964, 0.0833).


No. 8
First-principles (PBE-GGA) data for crystalline TaIn2Pb at its relaxed geometry, as listed in the Alexandria database.

Its formation energy from the elements is 0.74 eV per atom. The density of states at the Fermi level is 15.2 states/eV per cell.

The structure belongs to space group F-43m (No. 216); the cell edges are 7.298, 7.298 and 7.298 Å and the angles 90.00°, 90.00° and 90.00°. The asymmetric unit holds Ta at (0.000, 0.000, 0.000), In at (0.000, 0.000, 0.500), In at (0.250, 0.250, 0.750) and Pb at (0.250, 0.250, 0.250).


No. 9
First-principles (PBE-GGA) data for crystalline BaSm2N at its relaxed geometry, as listed in the Alexandria database.

The density of states at the Fermi level is 14.3 states/eV per cell. The calculation puts the uncorrected formation energy at -0.556 eV per atom.

The structure belongs to space group R-3m (No. 166, hexagonal axes); the cell edges are 3.6448, 3.6448 and 30.5117 Å and the angles 90.00°, 90.00° and 120.00°. The asymmetric unit holds Ba at (0.0000, 0.0000, 0.0000), Sm at (0.0000, 0.0000, 0.1227) and N at (0.0000, 0.0000, 0.5000).


No. 10
First-principles (PBE-GGA) data for crystalline TcSbOs2 at its relaxed geometry, as listed in the Alexandria database.

The density of states at the Fermi level is 9.1 states/eV per cell. The calculation puts the uncorrected formation energy at 0.434 eV per atom.

The structure belongs to space group Cm (No. 8); the cell edges are 9.238, 2.926 and 4.798 Å and the angles 90.00°, 98.10° and 90.00°. The asymmetric unit holds Tc at (0.000, 0.000, 0.000), Sb at (0.262, 0.500, 0.264), Os at (0.028, 0.500, 0.550) and Os at (0.265, 0.000, 0.762).


No. 11
First-principles (PBE-GGA) data for crystalline NdSm4Zn5 at its relaxed geometry, as listed in the Alexandria database.

Its formation energy from the elements is -0.31 eV per atom. The density of states at the Fermi level is 12.3 states/eV per cell.

The structure belongs to space group P4/mmm (No. 123); the cell edges are 3.649, 3.649 and 18.270 Å and the angles 90.00°, 90.00° and 90.00°. The asymmetric unit holds Nd at (0.000, 0.000, 0.000), Sm at (0.000, 0.000, 0.202), Sm at (0.000, 0.000, 0.401), Zn at (0.500, 0.500, 0.103), Zn at (0.500, 0.500, 0.301) and Zn at (0.500, 0.500, 0.500).


No. 12
First-principles (PBE-GGA) data for crystalline Pu2TeF3 at its relaxed geometry, as listed in the Alexandria database.

The density of states at the Fermi level is 99.8 states/eV per cell. The calculation puts the uncorrected formation energy at -2.728 eV per atom.

The structure belongs to space group C2/m (No. 12); the cell edges are 15.455, 4.077 and 8.104 Å and the angles 90.00°, 113.76° and 90.00°. The asymmetric unit holds Pu at (0.025, 0.000, 0.233), Pu at (0.199, 0.500, 0.688), Te at (0.137, 0.500, 0.047), F at (0.059, 0.500, 0.403), F at (0.102, 0.000, 0.666) and F at (0.190, 0.000, 0.454).


No. 13
First-principles (PBE-GGA) data for crystalline CsSnHI2 at its relaxed geometry, as listed in the Alexandria database.

The excess energy over the best structure of this formula in the dataset comes out at 0.0 meV/atom. The density of states at the Fermi level is 0.5 states/eV per cell.

The structure belongs to space group P4/mmm (No. 123); the cell edges are 6.410, 6.410 and 4.460 Å and the angles 90.00°, 90.00° and 90.00°. The asymmetric unit holds Cs at (0.000, 0.000, 0.000), Sn at (0.500, 0.500, 0.500), H at (0.500, 0.500, 0.000) and I at (0.000, 0.500, 0.500).


No. 14
First-principles (PBE-GGA) data for crystalline MnRePb2 at its relaxed geometry, as listed in the Alexandria database.

Its formation energy from the elements is 1.00 eV per atom. The excess energy over the best structure of this formula in the dataset comes out at 582.6 meV/atom. The density of states at the Fermi level is 3.4 states/eV per cell.

The structure belongs to space group P2/m (No. 10); the cell edges are 3.219, 4.569 and 5.715 Å and the angles 90.00°, 96.19° and 90.00°. The asymmetric unit holds Mn at (0.000, 0.000, 0.000), Re at (0.500, 0.000, 0.500) and Pb at (0.262, 0.500, 0.748).


No. 15
First-principles (PBE-GGA) data for crystalline Na2BeI4 at its relaxed geometry, as listed in the Alexandria database.

The density of states at the Fermi level is 0.0 states/eV per cell. The calculation puts the uncorrected formation energy at -0.929 eV per atom.

The structure belongs to space group I-42m (No. 121); the cell edges are 7.671, 7.671 and 9.745 Å and the angles 90.00°, 90.00° and 90.00°. The asymmetric unit holds Na at (0.000, 0.500, 0.000), Be at (0.000, 0.000, 0.000) and I at (0.185, 0.185, 0.857).


No. 16
First-principles (PBE-GGA) data for crystalline Er4Tm3Cd at its relaxed geometry, as listed in the Alexandria database.

Its formation energy from the elements is -0.06 eV per atom. The excess energy over the best structure of this formula in the dataset comes out at 0.0 meV/atom. The density of states at the Fermi level is 10.8 states/eV per cell.

The structure belongs to space group P4/mmm (No. 123); the cell edges are 3.505, 3.505 and 18.986 Å and the angles 90.00°, 90.00° and 90.00°. The asymmetric unit holds Er at (0.000, 0.000, 0.111), Er at (0.000, 0.000, 0.370), Tm at (0.500, 0.500, 0.241), Tm at (0.500, 0.500, 0.500) and Cd at (0.500, 0.500, 0.000).


No. 17
First-principles (PBE-GGA) data for crystalline Sm3Ga4Au2 at its relaxed geometry, as listed in the Alexandria database.

Its formation energy from the elements is -0.75 eV per atom. The excess energy over the best structure of this formula in the dataset comes out at 0.0 meV/atom. The density of states at the Fermi level is 8.0 states/eV per cell.

The structure belongs to space group C2/m (No. 12); the cell edges are 10.890, 4.559 and 8.591 Å and the angles 90.00°, 111.80° and 90.00°. The asymmetric unit holds Sm at (0.000, 0.000, 0.000), Sm at (0.173, 0.500, 0.656), Ga at (0.026, 0.000, 0.364), Ga at (0.241, 0.500, 0.076) and Au at (0.102, 0.500, 0.271).


No. 18
First-principles (PBE-GGA) data for crystalline Tb2Pm3Ho2 at its relaxed geometry, as listed in the Alexandria database.

Its formation energy from the elements is 0.01 eV per atom. The excess energy over the best structure of this formula in the dataset comes out at 0.0 meV/atom. The density of states at the Fermi level is 17.5 states/eV per cell.

The structure belongs to space group C2/m (No. 12); the cell edges are 11.893, 3.587 and 10.778 Å and the angles 90.00°, 95.95° and 90.00°. The asymmetric unit holds Tb at (0.215, 0.000, 0.358), Pm at (0.000, 0.500, 0.500), Pm at (0.143, 0.500, 0.072) and Ho at (0.072, 0.000, 0.785).


No. 19
First-principles (PBE-GGA) data for crystalline LiErThAg at its relaxed geometry, as listed in the Alexandria database.

Its formation energy from the elements is 0.06 eV per atom. The density of states at the Fermi level is 22.5 states/eV per cell.

The structure belongs to space group F-43m (No. 216); the cell edges are 7.371, 7.371 and 7.371 Å and the angles 90.00°, 90.00° and 90.00°. The asymmetric unit holds Li at (0.000, 0.000, 0.000), Er at (0.250, 0.250, 0.750), Th at (0.250, 0.250, 0.250) and Ag at (0.000, 0.000, 0.500).


No. 20
First-principles (PBE-GGA) data for crystalline CaZr3W at its relaxed geometry, as listed in the Alexandria database.

Its formation energy from the elements is 0.61 eV per atom. The excess energy over the best structure of this formula in the dataset comes out at 0.0 meV/atom. The density of states at the Fermi level is 10.7 states/eV per cell.

The structure belongs to space group Pm-3m (No. 221); the cell edges are 5.209, 5.209 and 5.209 Å and the angles 90.00°, 90.00° and 90.00°. The asymmetric unit holds Ca at (0.000, 0.000, 0.000), Zr at (0.000, 0.500, 0.500) and W at (0.500, 0.500, 0.500).